This record from the Alexandria database describes a geometry-optimized AlCoO3 structure. The functional is PBE+U.

abc: 5.242 5.484 11.637
angles: 90.09 89.84 118.41
Last column: magnetic moment on the atom in μB.
Positions (direct):
Al: 0.994 0.000 0.750  0.00
Al: 0.004 0.996 0.243  0.00
Al: 0.327 0.665 0.750  0.00
Al: 0.666 0.334 0.243  0.00
Al: 0.344 0.674 0.242  0.00
Al: 0.659 0.333 0.751  0.00
Co: 0.992 0.333 0.495  2.06
Co: 0.663 0.670 0.498  2.95
Co: 0.314 0.334 0.998  1.81
Co: 0.008 0.647 0.997  1.86
Co: 0.696 0.020 0.997  1.84
Co: 0.329 0.999 0.498  2.95
O: 0.680 0.014 0.832  -0.03
O: 0.039 0.988 0.004  0.10
O: 0.688 0.014 0.166  -0.04
O: 0.384 0.681 0.003  0.10
O: 0.333 0.001 0.316  0.07
O: 0.638 0.333 0.501  0.34
O: 0.666 0.666 0.316  0.07
O: 0.990 0.333 0.668  -0.06
O: 0.320 0.333 0.830  -0.02
O: 0.972 0.997 0.499  0.32
O: 0.678 0.334 0.001  0.12
O: 0.324 0.996 0.680  0.07
O: 0.994 0.331 0.330  -0.06
O: 0.007 0.653 0.166  -0.04
O: 0.660 0.668 0.680  0.07
O: 0.307 0.668 0.498  0.32
O: 0.999 0.653 0.832  -0.03
O: 0.328 0.335 0.167  -0.04

* magnetic moment: 2.52 μB per formula unit
* DFT total energy: -32.45 eV/f.u.
* SG: P1 (1)